# 1
A plane-wave DFT calculation with PBE was carried out for a relaxed structure of BiPb.

**Energy relative to the elements**: 0.080 eV per atom
**Magnetization**: 0.00 μB per cell
**Raw total energy**: -3.714 eV/atom
**Space-group type**: Pm-3m

Unit cell a=3.9947 b=3.9947 c=3.9947 alpha=90.00 beta=90.00 gamma=90.00
With the nearest neighbours (Å) after each atom.
Element x y z (fractional)
1 Pb 0.5000 0.5000 0.5000  8 Bi 3.46
2 Bi 0.0000 0.0000 0.0000  8 Pb 3.46

# 2
A plane-wave DFT calculation with PBE was carried out for a relaxed structure of Bi3Pb.

**E above lowest polymorph**: 0.050 eV/atom
**Energy relative to the elements**: 0.114 eV per atom
**Magnetization**: 0.00 μB per cell
**Raw total energy**: -3.724 eV/atom
**Space-group type**: I4/mmm

Unit cell a=4.7636 b=4.7636 c=6.6102 alpha=111.12 beta=111.12 gamma=90.00
With the nearest neighbours (Å) after each atom.
Element x y z (fractional)
1 Pb 0.0000 0.0000 0.0000  12 Bi 3.37-3.71
2 Bi 0.7500 0.2500 0.5000  8 Bi 3.37-3.71, 4 Pb 3.71
3 Bi 0.2500 0.7500 0.5000  8 Bi 3.37-3.71, 4 Pb 3.71
4 Bi 0.5000 0.5000 0.0000  4 Pb 3.37, 8 Bi 3.71

# 3
A plane-wave DFT calculation with PBE was carried out for a relaxed structure of BiPb3.

**Energy relative to the elements**: 0.015 eV per atom
**Magnetization**: 0.00 μB per cell
**Raw total energy**: -3.736 eV/atom
**Space-group type**: P2_1/m

Unit cell a=5.4201 b=6.9297 c=6.9256 alpha=97.65 beta=90.00 gamma=90.00
With the nearest neighbours (Å) after each atom.
Element x y z (fractional)
1 Bi 0.7500 0.8237 0.6785  10 Pb 3.36-3.62
2 Bi 0.2500 0.1763 0.3215  10 Pb 3.36-3.62
3 Pb 0.7500 0.8803 0.1680  4 Bi 3.36-3.61, 6 Pb 3.43-3.69
4 Pb 0.2500 0.1197 0.8320  4 Bi 3.36-3.61, 6 Pb 3.43-3.69
5 Pb 0.7500 0.3808 0.1184  10 Pb 3.43-3.69, 2 Bi 3.44
6 Pb 0.2500 0.6192 0.8816  10 Pb 3.43-3.69, 2 Bi 3.44
7 Pb 0.7500 0.3349 0.6184  4 Bi 3.36-3.62, 6 Pb 3.43-3.69
8 Pb 0.2500 0.6651 0.3816  4 Bi 3.36-3.62, 6 Pb 3.43-3.69

# 4
A plane-wave DFT calculation with PBE was carried out for a relaxed structure of Bi3Pb5.

**Energy relative to the elements**: 0.027 eV per atom
**Magnetization**: 0.00 μB per cell
**Raw total energy**: -3.746 eV/atom
**Space-group type**: I4/mcm

Unit cell a=8.8166 b=8.8166 c=9.1460 alpha=118.82 beta=118.82 gamma=90.00
With the nearest neighbours (Å) after each atom.
Element x y z (fractional)
1 Bi 0.7500 0.7500 0.5000  10 Pb 3.35-3.58
2 Bi 0.2500 0.2500 0.5000  10 Pb 3.35-3.58
3 Bi 0.1507 0.6507 0.0000  8 Pb 3.31-3.38
4 Bi 0.8493 0.3493 0.0000  8 Pb 3.31-3.38
5 Bi 0.3493 0.1507 0.0000  8 Pb 3.31-3.38
6 Bi 0.6507 0.8493 0.0000  8 Pb 3.31-3.38
7 Pb 0.0000 0.0000 0.0000  6 Bi 3.35
8 Pb 0.5000 0.5000 0.0000  6 Bi 3.35
9 Pb 0.4870 0.9870 0.6810  5 Bi 3.31-3.58, 4 Pb 3.54-3.65
10 Pb 0.1940 0.6940 0.6810  5 Bi 3.31-3.58, 4 Pb 3.54-3.65
11 Pb 0.6940 0.4870 0.6810  5 Bi 3.31-3.58, 4 Pb 3.54-3.65
12 Pb 0.9870 0.1940 0.6810  5 Bi 3.31-3.58, 4 Pb 3.54-3.65
13 Pb 0.5130 0.0130 0.3190  5 Bi 3.31-3.58, 4 Pb 3.54-3.65
14 Pb 0.8060 0.3060 0.3190  5 Bi 3.31-3.58, 4 Pb 3.54-3.65
15 Pb 0.3060 0.5130 0.3190  5 Bi 3.31-3.58, 4 Pb 3.54-3.65
16 Pb 0.0130 0.8060 0.3190  5 Bi 3.31-3.58, 4 Pb 3.54-3.65

# 5
A plane-wave DFT calculation with PBE was carried out for a relaxed structure of BiPb.

**Energy relative to the elements**: 0.349 eV per atom
**Magnetization**: 0.00 μB per cell
**Raw total energy**: -3.445 eV/atom
**Space-group type**: I-43m

Unit cell a=9.8807 b=9.8807 c=9.8807 alpha=90.00 beta=90.00 gamma=90.00
With the nearest neighbours (Å) after each atom.
Element x y z (fractional)
1 Bi 0.3359 0.3359 0.3359  4 Pb 3.13-3.15
2 Bi 0.3359 0.6641 0.6641  4 Pb 3.13-3.15
3 Bi 0.6641 0.3359 0.6641  4 Pb 3.13-3.15
4 Bi 0.6641 0.6641 0.3359  4 Pb 3.13-3.15
5 Bi 0.8359 0.8359 0.8359  4 Pb 3.13-3.15
6 Bi 0.8359 0.1641 0.1641  4 Pb 3.13-3.15
7 Bi 0.1641 0.8359 0.1641  4 Pb 3.13-3.15
8 Bi 0.1641 0.1641 0.8359  4 Pb 3.13-3.15
9 Pb 0.1520 0.1520 0.1520  4 Bi 3.13-3.15
10 Pb 0.1520 0.8480 0.8480  4 Bi 3.13-3.15
11 Pb 0.8480 0.1520 0.8480  4 Bi 3.13-3.15
12 Pb 0.8480 0.8480 0.1520  4 Bi 3.13-3.15
13 Pb 0.6520 0.6520 0.6520  4 Bi 3.13-3.15
14 Pb 0.6520 0.3480 0.3480  4 Bi 3.13-3.15
15 Pb 0.3480 0.6520 0.3480  4 Bi 3.13-3.15
16 Pb 0.3480 0.3480 0.6520  4 Bi 3.13-3.15

# 6
A plane-wave DFT calculation with PBE was carried out for a relaxed structure of Bi4Pb3.

**E above lowest polymorph**: 0.000 eV/atom
**Energy relative to the elements**: 0.121 eV per atom
**Magnetization**: 0.00 μB per cell
**Raw total energy**: -3.686 eV/atom
**Space-group type**: P-1

Unit cell a=3.5357 b=12.6599 c=12.6628 alpha=120.00 beta=89.93 gamma=90.06
With the nearest neighbours (Å) after each atom.
Element x y z (fractional)
1 Bi 0.7500 0.3332 0.6664  6 Pb 3.38, 2 Bi 3.54
2 Bi 0.2500 0.6668 0.3336  6 Pb 3.38, 2 Bi 3.54
3 Bi 0.7521 0.8147 0.7474  3 Pb 3.36-3.48, 6 Bi 3.37-3.54
4 Bi 0.7495 0.9324 0.1851  3 Pb 3.35-3.48, 6 Bi 3.37-3.54
5 Bi 0.7484 0.2531 0.0675  3 Pb 3.35-3.48, 6 Bi 3.37-3.54
6 Bi 0.2479 0.1853 0.2526  3 Pb 3.36-3.48, 6 Bi 3.37-3.54
7 Bi 0.2505 0.0676 0.8149  3 Pb 3.35-3.48, 6 Bi 3.37-3.54
8 Bi 0.2516 0.7469 0.9325  3 Pb 3.35-3.48, 6 Bi 3.37-3.54
9 Pb 0.7497 0.9091 0.5426  5 Bi 3.36-3.48, 4 Pb 3.47-3.54
10 Pb 0.7507 0.6334 0.0914  5 Bi 3.35-3.48, 4 Pb 3.47-3.54
11 Pb 0.7497 0.4577 0.3667  5 Bi 3.35-3.48, 4 Pb 3.47-3.54
12 Pb 0.2503 0.0909 0.4574  5 Bi 3.36-3.48, 4 Pb 3.47-3.54
13 Pb 0.2493 0.3666 0.9086  5 Bi 3.35-3.48, 4 Pb 3.47-3.54
14 Pb 0.2503 0.5423 0.6333  5 Bi 3.35-3.48, 4 Pb 3.47-3.54

# 7
A plane-wave DFT calculation with PBE was carried out for a relaxed structure of BiPb.

**Energy relative to the elements**: 0.048 eV per atom
**Magnetization**: 0.00 μB per cell
**Raw total energy**: -3.746 eV/atom
**Space-group type**: Pnma

Unit cell a=6.3504 b=9.2220 c=9.1248 alpha=90.00 beta=90.00 gamma=90.00
With the nearest neighbours (Å) after each atom.
Element x y z (fractional)
1 Bi 0.3082 0.2500 0.3126  6 Pb 3.31-3.64, 4 Bi 3.37-3.50
2 Bi 0.8082 0.2500 0.1874  6 Pb 3.31-3.64, 4 Bi 3.37-3.50
3 Bi 0.6918 0.7500 0.6874  6 Pb 3.31-3.64, 4 Bi 3.37-3.50
4 Bi 0.1918 0.7500 0.8126  6 Pb 3.31-3.64, 4 Bi 3.37-3.50
5 Bi 0.3974 0.2500 0.9340  6 Pb 3.34-3.58, 2 Bi 3.49-3.50
6 Bi 0.8974 0.2500 0.5659  6 Pb 3.34-3.58, 2 Bi 3.49-3.50
7 Bi 0.6026 0.7500 0.0660  6 Pb 3.34-3.58, 2 Bi 3.49-3.50
8 Bi 0.1026 0.7500 0.4340  6 Pb 3.34-3.58, 2 Bi 3.49-3.50
9 Pb 0.6758 0.9519 0.3682  6 Bi 3.31-3.64, 1 Pb 3.40
10 Pb 0.1758 0.5481 0.1318  6 Bi 3.31-3.64, 1 Pb 3.40
11 Pb 0.3242 0.4519 0.6318  6 Bi 3.31-3.64, 1 Pb 3.40
12 Pb 0.8242 0.0481 0.8682  6 Bi 3.31-3.64, 1 Pb 3.40
13 Pb 0.3242 0.0481 0.6318  6 Bi 3.31-3.64, 1 Pb 3.40
14 Pb 0.8242 0.4519 0.8682  6 Bi 3.31-3.64, 1 Pb 3.40
15 Pb 0.6758 0.5481 0.3682  6 Bi 3.31-3.64, 1 Pb 3.40
16 Pb 0.1758 0.9519 0.1318  6 Bi 3.31-3.64, 1 Pb 3.40

# 8
A plane-wave DFT calculation with PBE was carried out for a relaxed structure of Bi3Pb.

**E above lowest polymorph**: 0.008 eV/atom
**Energy relative to the elements**: 0.072 eV per atom
**Magnetization**: 0.00 μB per cell
**Raw total energy**: -3.766 eV/atom
**Space-group type**: Imm2

Unit cell a=3.4356 b=6.5315 c=6.8645 alpha=118.41 beta=104.49 gamma=90.00
With the nearest neighbours (Å) after each atom.
Element x y z (fractional)
1 Pb 0.0000 0.0534 0.0000  2 Pb 3.44, 8 Bi 3.45-3.57
2 Bi 0.2753 0.5759 0.5506  3 Bi 3.21-3.44, 3 Pb 3.53-3.57
3 Bi 0.5000 0.5122 0.0000  4 Bi 3.21-3.44, 2 Pb 3.45
4 Bi 0.7247 0.0253 0.4494  3 Bi 3.21-3.44, 3 Pb 3.53-3.57